Computed, not measured: a relaxed structure of AlAg at the PBEsol level of DFT.

* DFT total energy: -7.49 eV/f.u.
* N(E_F): 0.312 states/eV/atom
* E_form: -0.046 eV per atom

Cell: 3.9974 3.9974 16.1732 Å, 90.00 90.00 90.00°
Closest atoms and distances in Å follow each position.
Space group I4/mmm (No. 139)
One atom of each set of equivalent atoms:
Al 0.0000 0.0000 0.1288 x4  8 Ag 2.80-2.83, 4 Al 2.89
Al 0.0000 0.5000 0.0000 x4  4 Ag 2.76, 8 Al 2.83-2.89
Ag 0.0000 0.0000 0.3819 x4  8 Al 2.76-2.83, 4 Ag 2.92
Ag 0.0000 0.5000 0.2500 x4  4 Al 2.80, 8 Ag 2.83-2.92